## Tb4CeNd8 (PBE)

Data for a relaxed Tb4CeNd8 crystal.

Computed properties:
total DFT energy (no corrections)	-4.67	eV/atom
mass density	7.261	g/cm3
N(E_F)	59.91	states/eV per cell

Unit cell a=7.4359 b=7.4359 c=27.6509 alpha=90.00 beta=90.00 gamma=120.00
Closest atoms and distances in Å follow each position.
Space group R-3m (No. 166, hexagonal axes)
Inequivalent atoms, fractional coordinates:
Tb1 0.0000 0.0000 0.0000 x3  6 Nd 3.46, 6 Tb 3.72
Tb2 0.0000 0.5000 0.0000 x9  6 Nd 3.63-3.77, 6 Tb 3.72
Ce1 0.0000 0.0000 0.5000 x3  6 Nd 2.92
Nd1 0.0000 0.0000 0.2211 x6  9 Nd 3.73-3.81, 3 Tb 3.77
Nd2 0.0281 0.5140 0.7697 x18  1 Ce 2.92

## CaMgIn4 (PBE)

Data for a relaxed CaMgIn4 crystal.

Computed properties:
total DFT energy (no corrections)	-2.52	eV/atom
ΔE to the lowest computed polymorph	103	meV per atom
mass density	5.289	g/cm3
N(E_F)	16.87	states/eV per cell

Unit cell a=8.6960 b=8.6960 c=8.6960 alpha=90.00 beta=90.00 gamma=90.00
Closest atoms and distances in Å follow each position.
Space group F-43m (No. 216)
Inequivalent atoms, fractional coordinates:
Ca1 0.0000 0.0000 0.0000 x4  12 In 3.61, 4 Mg 3.77
Mg1 0.2500 0.2500 0.2500 x4  12 In 3.60, 4 Ca 3.77
In1 0.1248 0.1248 0.6248 x16  6 In 3.07-3.08

> What is the N(E_F) in the first record?

59.91 states/eV per cell

> The highest N(E_F) belongs to which entry?

Tb4CeNd8